Record 1
Here is an optimized crystal structure of GaMoP2 from Alexandria. Energies are from PBE-GGA.

Unit cell a=6.7027 b=6.7027 c=6.7027 alpha=130.95 beta=130.95 gamma=71.90
Last column: nearest neighbours and their distance in Å.
Atoms (fractional coordinates):
Ga 0.0000 0.0000 0.0000  4 P 2.42
Ga 0.7500 0.2500 0.5000  4 P 2.42
Mo 0.2500 0.7500 0.5000  4 P 2.36
Mo 0.5000 0.5000 0.0000  4 P 2.36
P 0.1348 0.6250 0.0098  2 Mo 2.36, 2 Ga 2.42
P 0.3750 0.3848 0.5098  2 Mo 2.36, 2 Ga 2.42
P 0.6152 0.1250 0.9902  2 Mo 2.36, 2 Ga 2.42
P 0.8750 0.8652 0.4902  2 Mo 2.36, 2 Ga 2.42

Values from the calculation:
**Magnetization**: 2.026 μB/cell
**Crystal system**: tetragonal
**Theoretical density**: 4.5 g/cm3
**Energy of formation**: 0.06 eV per atom
**SG**: I-42d (122)



Record 2
Here is an optimized crystal structure of Ga2MoP from Alexandria. Energies are from PBE-GGA.

Unit cell a=5.6945 b=5.6945 c=5.6945 alpha=101.27 beta=101.27 gamma=127.54
Last column: nearest neighbours and their distance in Å.
Atoms (fractional coordinates):
Ga 0.1003 0.6250 0.9753  2 P 2.51, 2 Ga 2.54, 2 Mo 2.76
Ga 0.3750 0.3503 0.4753  2 P 2.51, 2 Ga 2.54, 2 Mo 2.76
Ga 0.6497 0.1250 0.0247  2 P 2.51, 2 Ga 2.54, 2 Mo 2.76
Ga 0.8750 0.8997 0.5247  2 P 2.51, 2 Ga 2.54, 2 Mo 2.76
Mo 0.2500 0.7500 0.5000  2 P 2.52, 4 Ga 2.76
Mo 0.5000 0.5000 0.0000  2 P 2.52, 4 Ga 2.76
P 0.0000 0.0000 0.0000  4 Ga 2.51, 2 Mo 2.52
P 0.7500 0.2500 0.5000  4 Ga 2.51, 2 Mo 2.52

Values from the calculation:
**Magnetization**: 0.000 μB/cell
**Crystal system**: tetragonal
**Theoretical density**: 6.7 g/cm3
**Energy of formation**: 0.36 eV per atom
**SG**: I-42d (122)



Record 3
Here is an optimized crystal structure of GaMoP from Alexandria. Energies are from PBE-GGA.

Unit cell a=4.5547 b=4.5547 c=7.5602 alpha=98.03 beta=98.03 gamma=39.81
Last column: nearest neighbours and their distance in Å.
Atoms (fractional coordinates):
Ga 0.0000 0.0000 0.0000  1 Ga 2.49, 1 P 2.63
Ga 0.2416 0.2416 0.8538  1 Ga 2.49
Mo 0.4631 0.4631 0.2975  4 P 2.38-2.45
Mo 0.7977 0.7977 0.5619  5 P 2.42-2.53
P 0.1858 0.1858 0.3096  5 Mo 2.39-2.53, 1 Ga 2.63
P 0.5167 0.5167 0.6151  4 Mo 2.38-2.50

Values from the calculation:
**Magnetization**: 0.000 μB/cell
**Crystal system**: monoclinic
**Theoretical density**: 6.6 g/cm3
**Energy of formation**: -0.24 eV per atom
**SG**: Cm (8)



Record 4
Here is an optimized crystal structure of Ga2Mo2P from Alexandria. Energies are from PBE-GGA.

Unit cell a=6.4124 b=6.4124 c=3.8857 alpha=90.00 beta=90.00 gamma=90.00
Last column: nearest neighbours and their distance in Å.
Atoms (fractional coordinates):
Ga 0.1434 0.3566 0.0000  1 Ga 2.60, 6 Mo 2.62-2.77
Ga 0.3566 0.8566 0.0000  1 Ga 2.60, 6 Mo 2.62-2.77
Ga 0.6434 0.1434 0.0000  1 Ga 2.60, 6 Mo 2.62-2.77
Ga 0.8566 0.6434 0.0000  1 Ga 2.60, 6 Mo 2.62-2.77
Mo 0.1632 0.6632 0.5000  2 P 2.40, 2 Ga 2.62
Mo 0.3368 0.1632 0.5000  2 P 2.40, 2 Ga 2.62
Mo 0.6632 0.8368 0.5000  2 P 2.40, 2 Ga 2.62
Mo 0.8368 0.3368 0.5000  2 P 2.40, 2 Ga 2.62
P 0.0000 0.0000 0.5000  4 Mo 2.40
P 0.5000 0.5000 0.5000  4 Mo 2.40

Values from the calculation:
**Magnetization**: 0.000 μB/cell
**Crystal system**: tetragonal
**Theoretical density**: 7.5 g/cm3
**Energy of formation**: -0.09 eV per atom
**SG**: P4/mbm (127)



Record 5
Here is an optimized crystal structure of GaMoP2S from Alexandria. Energies are from PBE-GGA.

Unit cell a=4.7226 b=4.7226 c=4.7734 alpha=90.00 beta=90.00 gamma=90.00
Last column: nearest neighbours and their distance in Å.
Atoms (fractional coordinates):
Ga 0.0000 0.0000 0.0000  4 S 3.34, 8 P 3.36
Mo 0.5000 0.5000 0.5000  4 P 2.36, 2 S 2.39
P 0.0000 0.5000 0.5000  2 Mo 2.36
P 0.5000 0.0000 0.5000  2 Mo 2.36
S 0.5000 0.5000 0.0000  2 Mo 2.39

Values from the calculation:
**Magnetization**: 0.000 μB/cell
**Crystal system**: tetragonal
**Theoretical density**: 4.1 g/cm3
**Energy relative to the elements, uncorrected**: 296 meV per atom
**SG**: P4/mmm (123)



Record 6
Here is an optimized crystal structure of GaMoP2S from Alexandria. Energies are from PBE-GGA.

Unit cell a=4.5730 b=4.5730 c=4.7125 alpha=90.00 beta=90.00 gamma=90.00
Last column: nearest neighbours and their distance in Å.
Atoms (fractional coordinates):
Ga 0.0000 0.0000 0.0000  4 P 2.29, 2 S 2.36
Mo 0.5000 0.5000 0.5000  4 S 3.23, 8 P 3.28
P 0.0000 0.5000 0.0000  2 Ga 2.29
P 0.5000 0.0000 0.0000  2 Ga 2.29
S 0.0000 0.0000 0.5000  2 Ga 2.36

Values from the calculation:
**Magnetization**: 2.610 μB/cell
**Crystal system**: tetragonal
**Theoretical density**: 4.4 g/cm3
**Energy relative to the elements, uncorrected**: 1122 meV per atom
**SG**: P4/mmm (123)



Record 7
Here is an optimized crystal structure of GaTcMo2P from Alexandria. Energies are from PBE-GGA.

Unit cell a=4.7349 b=4.7349 c=4.6933 alpha=90.00 beta=90.00 gamma=90.00
Last column: nearest neighbours and their distance in Å.
Atoms (fractional coordinates):
Ga 0.0000 0.0000 0.0000  2 Tc 2.35
Tc 0.0000 0.0000 0.5000  2 Ga 2.35, 4 Mo 2.37
Mo 0.0000 0.5000 0.5000  2 Tc 2.37
Mo 0.5000 0.0000 0.5000  2 Tc 2.37
P 0.5000 0.5000 0.0000  8 Mo 3.33, 4 Ga 3.35

Values from the calculation:
**Magnetization**: 2.322 μB/cell
**Crystal system**: tetragonal
**Theoretical density**: 6.2 g/cm3
**Energy of formation**: 1.38 eV per atom
**SG**: P4/mmm (123)



Record 8
Here is an optimized crystal structure of GaTc2MoP from Alexandria. Energies are from PBE-GGA.

Unit cell a=4.3711 b=4.3711 c=4.4273 alpha=90.00 beta=90.00 gamma=90.00
Last column: nearest neighbours and their distance in Å.
Atoms (fractional coordinates):
Ga 0.0000 0.0000 0.0000  4 Mo 3.09, 8 Tc 3.11
Tc 0.0000 0.5000 0.5000  2 P 2.19
Tc 0.5000 0.0000 0.5000  2 P 2.19
Mo 0.5000 0.5000 0.0000  2 P 2.21
P 0.5000 0.5000 0.5000  4 Tc 2.19, 2 Mo 2.21

Values from the calculation:
**Magnetization**: 0.000 μB/cell
**Crystal system**: tetragonal
**Theoretical density**: 7.7 g/cm3
**Energy of formation**: 0.42 eV per atom
**SG**: P4/mmm (123)



Record 9
Here is an optimized crystal structure of Ga2TeMoP from Alexandria. Energies are from PBE-GGA.

Unit cell a=5.1441 b=5.1441 c=4.5684 alpha=90.00 beta=90.00 gamma=90.00
Last column: nearest neighbours and their distance in Å.
Atoms (fractional coordinates):
Ga 0.0000 0.5000 0.0000  2 Mo 2.57
Ga 0.5000 0.0000 0.0000  2 Mo 2.57
Te 0.0000 0.0000 0.5000  8 Ga 3.44, 4 P 3.64
Mo 0.5000 0.5000 0.0000  2 P 2.28
P 0.5000 0.5000 0.5000  2 Mo 2.28

Values from the calculation:
**Magnetization**: 1.113 μB/cell
**Crystal system**: tetragonal
**Theoretical density**: 5.4 g/cm3
**Energy relative to the elements, uncorrected**: 395 meV per atom
**SG**: P4/mmm (123)



Record 10
Here is an optimized crystal structure of GaTe2MoP from Alexandria. Energies are from PBE-GGA.

Unit cell a=5.2769 b=5.2769 c=4.9657 alpha=90.00 beta=90.00 gamma=90.00
Last column: nearest neighbours and their distance in Å.
Atoms (fractional coordinates):
Ga 0.0000 0.0000 0.0000  2 Mo 2.48, 4 Te 2.64
Te 0.0000 0.5000 0.0000  2 Ga 2.64
Te 0.5000 0.0000 0.0000  2 Ga 2.64
Mo 0.0000 0.0000 0.5000  2 Ga 2.48
P 0.5000 0.5000 0.5000  8 Te 3.62, 4 Mo 3.73

Values from the calculation:
**Magnetization**: 2.931 μB/cell
**Crystal system**: tetragonal
**Theoretical density**: 5.4 g/cm3
**Energy relative to the elements, uncorrected**: 1369 meV per atom
**SG**: P4/mmm (123)



Record 11
Here is an optimized crystal structure of PaGaMo2 from Alexandria. Energies are from PBE-GGA.

Unit cell a=4.4943 b=4.4943 c=3.5372 alpha=90.00 beta=90.00 gamma=90.00
Last column: nearest neighbours and their distance in Å.
Atoms (fractional coordinates):
Pa 0.0000 0.0000 0.0000  8 Mo 2.86, 4 Ga 3.18
Ga 0.5000 0.5000 0.0000  8 Mo 2.86, 4 Pa 3.18
Mo 0.0000 0.5000 0.5000  4 Ga 2.86, 4 Pa 2.86, 4 Mo 3.18
Mo 0.5000 0.0000 0.5000  4 Ga 2.86, 4 Pa 2.86, 4 Mo 3.18

Values from the calculation:
**Magnetization**: 0.001 μB/cell
**Crystal system**: tetragonal
**Theoretical density**: 11.4 g/cm3
**Energy of formation**: -0.04 eV per atom
**SG**: P4/mmm (123)



Record 12
Here is an optimized crystal structure of PaGa2Mo from Alexandria. Energies are from PBE-GGA.

Unit cell a=3.4632 b=3.4632 c=6.1613 alpha=90.00 beta=90.00 gamma=90.00
Last column: nearest neighbours and their distance in Å.
Atoms (fractional coordinates):
Pa 0.0000 0.0000 0.0000  8 Ga 3.06, 2 Mo 3.08
Ga 0.5000 0.5000 0.2965  1 Ga 2.51, 4 Mo 2.75
Ga 0.5000 0.5000 0.7035  1 Ga 2.51, 4 Mo 2.75
Mo 0.0000 0.0000 0.5000  8 Ga 2.75, 2 Pa 3.08

Values from the calculation:
**Magnetization**: 0.002 μB/cell
**Crystal system**: tetragonal
**Theoretical density**: 10.5 g/cm3
**Energy of formation**: -0.12 eV per atom
**SG**: P4/mmm (123)



Record 13
Here is an optimized crystal structure of Pa2Ga3Mo from Alexandria. Energies are from PBE-GGA.

Unit cell a=5.3607 b=5.3607 c=5.5575 alpha=118.94 beta=118.94 gamma=59.71
Last column: nearest neighbours and their distance in Å.
Atoms (fractional coordinates):
Pa 0.1373 0.1373 0.4101  3 Mo 3.12, 9 Ga 3.13-3.28, 3 Pa 3.19-3.22
Pa 0.8627 0.8627 0.5899  3 Mo 3.12, 9 Ga 3.13-3.28, 3 Pa 3.19-3.22
Ga 0.0000 0.5000 0.0000  4 Ga 2.67-2.68, 2 Mo 2.77
Ga 0.5000 0.0000 0.0000  4 Ga 2.67-2.68, 2 Mo 2.77
Ga 0.5000 0.5000 0.0000  4 Ga 2.68, 2 Mo 2.78
Mo 0.5000 0.5000 0.5000  6 Ga 2.77-2.78

Values from the calculation:
**Magnetization**: 0.001 μB/cell
**Crystal system**: monoclinic
**Theoretical density**: 11.1 g/cm3
**Energy of formation**: -0.29 eV per atom
**SG**: C2/m (12)



Record 14
Here is an optimized crystal structure of PaGa2Mo from Alexandria. Energies are from PBE-GGA.

Unit cell a=4.6613 b=6.5677 c=5.1777 alpha=90.00 beta=106.71 gamma=90.00
Last column: nearest neighbours and their distance in Å.
Atoms (fractional coordinates):
Pa 0.0300 0.2500 0.1361  2 Mo 2.63-2.68
Pa 0.9700 0.7500 0.8639  2 Mo 2.63-2.68
Ga 0.4237 0.0511 0.7288  3 Ga 2.61-2.77, 3 Mo 2.69-2.79
Ga 0.4237 0.4489 0.7288  3 Ga 2.61-2.77, 3 Mo 2.69-2.79
Ga 0.5763 0.5511 0.2712  3 Ga 2.61-2.77, 3 Mo 2.69-2.79
Ga 0.5763 0.9489 0.2712  3 Ga 2.61-2.77, 3 Mo 2.69-2.79
Mo 0.1037 0.7500 0.3935  2 Pa 2.63-2.68, 6 Ga 2.69-2.79
Mo 0.8963 0.2500 0.6065  2 Pa 2.63-2.68, 6 Ga 2.69-2.79

Values from the calculation:
**Magnetization**: 0.000 μB/cell
**Crystal system**: monoclinic
**Theoretical density**: 10.2 g/cm3
**Energy of formation**: -0.29 eV per atom
**SG**: P2_1/m (11)



Record 15
Here is an optimized crystal structure of PaGaMo2 from Alexandria. Energies are from PBE-GGA.

Unit cell a=3.4325 b=3.4325 c=6.1612 alpha=90.00 beta=90.00 gamma=90.00
Last column: nearest neighbours and their distance in Å.
Atoms (fractional coordinates):
Pa 0.0000 0.0000 0.0000  8 Mo 2.97, 2 Ga 3.08
Ga 0.0000 0.0000 0.5000  8 Mo 2.79, 2 Pa 3.08
Mo 0.5000 0.5000 0.2766  1 Mo 2.75, 4 Ga 2.79, 4 Pa 2.97
Mo 0.5000 0.5000 0.7234  1 Mo 2.75, 4 Ga 2.79, 4 Pa 2.97

Values from the calculation:
**Magnetization**: 0.000 μB/cell
**Crystal system**: tetragonal
**Theoretical density**: 11.3 g/cm3
**Energy of formation**: 0.12 eV per atom
**SG**: P4/mmm (123)



Record 16
Here is an optimized crystal structure of PaGaMo from Alexandria. Energies are from PBE-GGA.

Unit cell a=5.4161 b=5.4161 c=5.4161 alpha=118.72 beta=118.04 gamma=92.82
Last column: nearest neighbours and their distance in Å.
Atoms (fractional coordinates):
Pa 0.3558 0.1058 0.2500  6 Mo 2.99-3.29, 6 Ga 3.19-3.26, 2 Pa 3.20
Pa 0.6442 0.8942 0.7500  6 Mo 2.99-3.29, 6 Ga 3.19-3.26, 2 Pa 3.20
Ga 0.0000 0.5000 0.5000  4 Mo 2.71, 2 Ga 2.79
Ga 0.5000 0.5000 0.0000  4 Mo 2.71, 2 Ga 2.79
Mo 0.0000 0.0000 0.5000  4 Ga 2.71, 2 Mo 2.76, 2 Pa 2.99
Mo 0.0000 0.5000 0.0000  4 Ga 2.71, 2 Mo 2.76, 2 Pa 2.99

Values from the calculation:
**Magnetization**: 0.000 μB/cell
**Crystal system**: orthorhombic
**Theoretical density**: 11.5 g/cm3
**Energy of formation**: -0.23 eV per atom
**SG**: Imma (74)



Record 17
Here is an optimized crystal structure of PaGaMo2 from Alexandria. Energies are from PBE-GGA.

Unit cell a=4.6422 b=4.6422 c=4.6422 alpha=60.00 beta=60.00 gamma=60.00
Last column: nearest neighbours and their distance in Å.
Atoms (fractional coordinates):
Pa 0.0000 0.0000 0.0000  8 Mo 2.84
Ga 0.5000 0.5000 0.5000  8 Mo 2.84
Mo 0.2500 0.2500 0.2500  4 Ga 2.84, 4 Pa 2.84
Mo 0.7500 0.7500 0.7500  4 Ga 2.84, 4 Pa 2.84

Values from the calculation:
**Magnetization**: 0.000 μB/cell
**Crystal system**: cubic
**Theoretical density**: 11.6 g/cm3
**Energy of formation**: -0.01 eV per atom
**SG**: Fm-3m (225)



Record 18
Here is an optimized crystal structure of PaGa2Mo from Alexandria. Energies are from PBE-GGA.

Unit cell a=4.7228 b=4.7228 c=4.7228 alpha=60.00 beta=60.00 gamma=60.00
Last column: nearest neighbours and their distance in Å.
Atoms (fractional coordinates):
Pa 0.0000 0.0000 0.0000  8 Ga 2.89
Ga 0.2500 0.2500 0.2500  4 Mo 2.89, 4 Pa 2.89
Ga 0.7500 0.7500 0.7500  4 Mo 2.89, 4 Pa 2.89
Mo 0.5000 0.5000 0.5000  8 Ga 2.89

Values from the calculation:
**Magnetization**: 0.004 μB/cell
**Crystal system**: cubic
**Theoretical density**: 10.4 g/cm3
**Energy of formation**: -0.06 eV per atom
**SG**: Fm-3m (225)



Record 19
Here is an optimized crystal structure of PaGaMo from Alexandria. Energies are from PBE-GGA.

Unit cell a=6.4005 b=6.4005 c=6.4005 alpha=140.50 beta=133.16 gamma=62.89
Last column: nearest neighbours and their distance in Å.
Atoms (fractional coordinates):
Pa 0.1929 0.1929 0.0000  4 Mo 2.66-2.95
Pa 0.8071 0.8071 0.0000  4 Mo 2.66-2.95
Ga 0.2514 0.5000 0.7514  2 Ga 2.53-2.56
Ga 0.7486 0.5000 0.2486  2 Ga 2.53-2.56
Mo 0.3767 0.8767 0.5000  4 Pa 2.66-2.95, 1 Mo 2.69, 4 Ga 2.84
Mo 0.6233 0.1233 0.5000  4 Pa 2.66-2.95, 1 Mo 2.69, 4 Ga 2.84

Values from the calculation:
**Magnetization**: 0.000 μB/cell
**Crystal system**: orthorhombic
**Theoretical density**: 11.0 g/cm3
**Energy of formation**: -0.02 eV per atom
**SG**: Immm (71)



Record 20
Here is an optimized crystal structure of Pa2GaMo from Alexandria. Energies are from PBE-GGA.

Unit cell a=4.9650 b=4.9650 c=4.9650 alpha=60.00 beta=60.00 gamma=60.00
Last column: nearest neighbours and their distance in Å.
Atoms (fractional coordinates):
Pa 0.2500 0.2500 0.2500  4 Mo 3.04, 4 Ga 3.04
Pa 0.7500 0.7500 0.7500  4 Mo 3.04, 4 Ga 3.04
Ga 0.0000 0.0000 0.0000  8 Pa 3.04
Mo 0.5000 0.5000 0.5000  8 Pa 3.04

Values from the calculation:
**Magnetization**: 0.001 μB/cell
**Crystal system**: cubic
**Theoretical density**: 12.0 g/cm3
**Energy of formation**: 0.06 eV per atom
**SG**: Fm-3m (225)